{"formula": "Ac2Ce2Se7", "functional": "GGA-PBE", "state": "optimized geometry", "sg": "No. 65", "cell": [[4.7400, -5.2752, 0.0000], [4.7400, 5.2752, 0.0000], [0.0000, 0.0000, 7.0797]], "species": ["Ac", "Ac", "Ce", "Ce", "Se", "Se", "Se", "Se", "Se", "Se", "Se"], "fractional_positions": [[0.2438, 0.2438, 0.0000], [0.7562, 0.7562, 0.0000], [0.2300, 0.7700, 0.5000], [0.7700, 0.2300, 0.5000], [0.0000, 0.0000, 0.2652], [0.0000, 0.0000, 0.7348], [0.0000, 0.5000, 0.2492], [0.0000, 0.5000, 0.7508], [0.5000, 0.0000, 0.2492], [0.5000, 0.0000, 0.7508], [0.5000, 0.5000, 0.5000]]}


{"formula": "Ac2CeSe3", "functional": "GGA-PBE", "state": "optimized geometry", "sg": "No. 71", "relative_energy_ev_per_atom": 0.000, "dos_ef_per_ev_atom": 1.4116, "cell": [[-2.1862, 3.1093, 6.5955], [2.1862, -3.1093, 6.5955], [2.1862, 3.1093, -6.5955]], "species": ["Ac", "Ac", "Ce", "Se", "Se", "Se"], "fractional_positions": [[0.1693, 0.1693, 0.0000], [0.8307, 0.8307, 0.0000], [0.5000, 0.5000, 0.0000], [0.0000, 0.5000, 0.5000], [0.3419, 0.8419, 0.5000], [0.6581, 0.1581, 0.5000]]}


{"formula": "Ac2CeSe4", "functional": "GGA-PBE", "state": "optimized geometry", "sg": "No. 63", "dos_ef_per_ev_atom": 1.0686, "cell": [[2.1264, -7.3939, 0.0000], [2.1264, 7.3939, 0.0000], [0.0000, 0.0000, 14.5112]], "species": ["Ac", "Ac", "Ac", "Ac", "Ce", "Ce", "Se", "Se", "Se", "Se", "Se", "Se", "Se", "Se"], "fractional_positions": [[0.1314, 0.8686, 0.5730], [0.1314, 0.8686, 0.9270], [0.8686, 0.1314, 0.0730], [0.8686, 0.1314, 0.4270], [0.3749, 0.6251, 0.7500], [0.6251, 0.3749, 0.2500], [0.0185, 0.9815, 0.7500], [0.2207, 0.7793, 0.1260], [0.2207, 0.7793, 0.3740], [0.5000, 0.5000, 0.0000], [0.5000, 0.5000, 0.5000], [0.7793, 0.2207, 0.6260], [0.7793, 0.2207, 0.8740], [0.9815, 0.0185, 0.2500]]}


{"formula": "Ac2CeSe3", "functional": "GGA-PBE", "state": "optimized geometry", "sg": "No. 139", "relative_energy_ev_per_atom": 0.007, "dos_ef_per_ev_atom": 1.4756, "cell": [[-2.1986, 2.1986, 9.3076], [2.1986, -2.1986, 9.3076], [2.1986, 2.1986, -9.3076]], "species": ["Ac", "Ac", "Ce", "Se", "Se", "Se"], "fractional_positions": [[0.1664, 0.1664, 0.0000], [0.8336, 0.8336, 0.0000], [0.5000, 0.5000, 0.0000], [0.0000, 0.0000, 0.0000], [0.3374, 0.3374, 0.0000], [0.6626, 0.6626, 0.0000]]}


{"formula": "AcCe2Se4", "functional": "GGA-PBE", "state": "optimized geometry", "sg": "No. 63", "dos_ef_per_ev_atom": 2.1260, "cell": [[2.1133, -7.0295, 0.0000], [2.1133, 7.0295, 0.0000], [0.0000, 0.0000, 14.2639]], "species": ["Ac", "Ac", "Ce", "Ce", "Ce", "Ce", "Se", "Se", "Se", "Se", "Se", "Se", "Se", "Se"], "fractional_positions": [[0.1184, 0.8816, 0.7500], [0.8816, 0.1184, 0.2500], [0.3678, 0.6322, 0.5647], [0.3678, 0.6322, 0.9353], [0.6322, 0.3678, 0.0647], [0.6322, 0.3678, 0.4353], [0.0000, 0.0000, 0.0000], [0.0000, 0.0000, 0.5000], [0.2727, 0.7273, 0.1222], [0.2727, 0.7273, 0.3778], [0.4578, 0.5422, 0.7500], [0.5422, 0.4578, 0.2500], [0.7273, 0.2727, 0.6222], [0.7273, 0.2727, 0.8778]]}


{"formula": "AcCeSe2", "functional": "GGA-PBE", "state": "optimized geometry", "sg": "No. 160", "relative_energy_ev_per_atom": 0.077, "dos_ef_per_ev_atom": 1.7979, "cell": [[2.1074, 1.2167, 7.6719], [-2.1074, 1.2167, 7.6719], [0.0000, -2.4334, 7.6719]], "species": ["Ac", "Ce", "Se", "Se"], "fractional_positions": [[0.0000, 0.0000, 0.0000], [0.1753, 0.1753, 0.1753], [0.5815, 0.5815, 0.5815], [0.7600, 0.7600, 0.7600]]}


{"formula": "AcCeSe2", "functional": "GGA-PBE", "state": "optimized geometry", "sg": "No. 166", "relative_energy_ev_per_atom": 0.000, "dos_ef_per_ev_atom": 1.7402, "cell": [[2.1629, 1.2487, 7.1393], [-2.1629, 1.2487, 7.1393], [0.0000, -2.4975, 7.1393]], "species": ["Ac", "Ce", "Se", "Se"], "fractional_positions": [[0.0000, 0.0000, 0.0000], [0.5000, 0.5000, 0.5000], [0.2445, 0.2445, 0.2445], [0.7555, 0.7555, 0.7555]]}


{"formula": "Ac5CeSe8", "functional": "GGA-PBE", "state": "optimized geometry", "sg": "No. 82", "dos_ef_per_ev_atom": 1.0089, "cell": [[-4.6646, 4.6646, 4.6694], [4.6646, -4.6646, 4.6694], [4.6646, 4.6646, -4.6694]], "species": ["Ac", "Ac", "Ac", "Ac", "Ac", "Ce", "Se", "Se", "Se", "Se", "Se", "Se", "Se", "Se"], "fractional_positions": [[0.0000, 0.0000, 0.0000], [0.1265, 0.2528, 0.6245], [0.4981, 0.8735, 0.1263], [0.6282, 0.5019, 0.3755], [0.7472, 0.3718, 0.8737], [0.2500, 0.7500, 0.5000], [0.0286, 0.6245, 0.7496], [0.2231, 0.4757, 0.1057], [0.3700, 0.1174, 0.8943], [0.3755, 0.1251, 0.4040], [0.5243, 0.6300, 0.7474], [0.7211, 0.9714, 0.5960], [0.8749, 0.2789, 0.2504], [0.8826, 0.7769, 0.2526]]}


{"formula": "Ac3Ce2Se8", "functional": "GGA-PBE", "state": "optimized geometry", "sg": "No. 65", "dos_ef_per_ev_atom": 0.7315, "cell": [[5.2637, -7.3276, 0.0000], [5.2637, 7.3276, 0.0000], [0.0000, 0.0000, 5.1193]], "species": ["Ac", "Ac", "Ac", "Ce", "Ce", "Se", "Se", "Se", "Se", "Se", "Se", "Se", "Se"], "fractional_positions": [[0.0000, 0.0000, 0.0000], [0.2821, 0.2821, 0.5000], [0.7179, 0.7179, 0.5000], [0.2660, 0.7340, 0.0000], [0.7340, 0.2660, 0.0000], [0.1147, 0.3741, 0.0000], [0.1239, 0.8761, 0.5000], [0.3635, 0.6365, 0.5000], [0.3741, 0.1147, 0.0000], [0.6259, 0.8853, 0.0000], [0.6365, 0.3635, 0.5000], [0.8761, 0.1239, 0.5000], [0.8853, 0.6259, 0.0000]]}


{"formula": "AcCeSe2", "functional": "GGA-PBE", "state": "optimized geometry", "sg": "No. 141", "relative_energy_ev_per_atom": 0.016, "dos_ef_per_ev_atom": 1.9061, "cell": [[-3.0805, 3.0805, 6.1437], [3.0805, -3.0805, 6.1437], [3.0805, 3.0805, -6.1437]], "species": ["Ac", "Ac", "Ce", "Ce", "Se", "Se", "Se", "Se"], "fractional_positions": [[0.3750, 0.6250, 0.7500], [0.6250, 0.3750, 0.2500], [0.1250, 0.8750, 0.2500], [0.8750, 0.1250, 0.7500], [0.1194, 0.3694, 0.7500], [0.3694, 0.1194, 0.2500], [0.6306, 0.8806, 0.7500], [0.8806, 0.6306, 0.2500]]}


{"formula": "Ac3CeSe4", "functional": "GGA-PBE", "state": "optimized geometry", "sg": "No. 13", "dos_ef_per_ev_atom": 1.1735, "cell": [[7.6668, 0.0000, 0.0000], [0.0000, 8.7810, 0.0000], [-2.5286, 0.0000, 7.2041]], "species": ["Ac", "Ac", "Ac", "Ac", "Ac", "Ac", "Ce", "Ce", "Se", "Se", "Se", "Se", "Se", "Se", "Se", "Se"], "fractional_positions": [[0.0000, 0.1242, 0.2500], [0.0000, 0.3739, 0.7500], [0.0000, 0.6261, 0.2500], [0.0000, 0.8758, 0.7500], [0.5000, 0.3732, 0.2500], [0.5000, 0.6268, 0.7500], [0.5000, 0.1222, 0.7500], [0.5000, 0.8778, 0.2500], [0.2562, 0.3695, 0.5059], [0.2562, 0.6305, 0.0059], [0.2598, 0.1199, 0.9995], [0.2598, 0.8801, 0.4995], [0.7402, 0.1199, 0.5005], [0.7402, 0.8801, 0.0005], [0.7438, 0.3695, 0.9941], [0.7438, 0.6305, 0.4941]]}


{"formula": "AcCeSe2", "functional": "GGA-PBE", "state": "optimized geometry", "sg": "No. 194", "relative_energy_ev_per_atom": 0.021, "dos_ef_per_ev_atom": 1.7330, "cell": [[4.2714, 0.0000, 0.0000], [-2.1357, 3.6992, 0.0000], [0.0000, 0.0000, 14.7507]], "species": ["Ac", "Ac", "Ce", "Ce", "Se", "Se", "Se", "Se"], "fractional_positions": [[0.3333, 0.6667, 0.2500], [0.6667, 0.3333, 0.7500], [0.0000, 0.0000, 0.0000], [0.0000, 0.0000, 0.5000], [0.3333, 0.6667, 0.6157], [0.3333, 0.6667, 0.8843], [0.6667, 0.3333, 0.1157], [0.6667, 0.3333, 0.3843]]}


{"formula": "Ac3CeSe6", "functional": "GGA-PBE", "state": "optimized geometry", "sg": "No. 12", "relative_energy_ev_per_atom": 0.095, "dos_ef_per_ev_atom": 0.3703, "cell": [[6.8469, -3.9673, 0.0000], [6.8469, 3.9673, 0.0000], [-4.2129, 0.0000, 6.4964]], "species": ["Ac", "Ac", "Ac", "Ce", "Se", "Se", "Se", "Se", "Se", "Se"], "fractional_positions": [[0.0000, 0.0000, 0.0000], [0.2488, 0.2488, 0.7021], [0.7512, 0.7512, 0.2979], [0.5000, 0.5000, 0.5000], [0.1626, 0.6584, 0.6544], [0.2579, 0.2579, 0.1070], [0.3416, 0.8374, 0.3456], [0.6584, 0.1626, 0.6544], [0.7421, 0.7421, 0.8930], [0.8374, 0.3416, 0.3456]]}


{"formula": "AcCe4Se6", "functional": "GGA-PBE", "state": "optimized geometry", "sg": "No. 63", "dos_ef_per_ev_atom": 2.2562, "cell": [[2.1068, -6.9261, 0.0000], [2.1068, 6.9261, 0.0000], [0.0000, 0.0000, 21.3654]], "species": ["Ac", "Ac", "Ce", "Ce", "Ce", "Ce", "Ce", "Ce", "Ce", "Ce", "Se", "Se", "Se", "Se", "Se", "Se", "Se", "Se", "Se", "Se", "Se", "Se"], "fractional_positions": [[0.1614, 0.8386, 0.7500], [0.8386, 0.1614, 0.2500], [0.0909, 0.9091, 0.1244], [0.0909, 0.9091, 0.3756], [0.3605, 0.6395, 0.0386], [0.3605, 0.6395, 0.4614], [0.6395, 0.3605, 0.5386], [0.6395, 0.3605, 0.9614], [0.9091, 0.0909, 0.6244], [0.9091, 0.0909, 0.8756], [0.0000, 0.0000, 0.0000], [0.0000, 0.0000, 0.5000], [0.1762, 0.8238, 0.2500], [0.2673, 0.7327, 0.5916], [0.2673, 0.7327, 0.9084], [0.4516, 0.5484, 0.1652], [0.4516, 0.5484, 0.3348], [0.5484, 0.4516, 0.6652], [0.5484, 0.4516, 0.8348], [0.7327, 0.2673, 0.0916], [0.7327, 0.2673, 0.4084], [0.8238, 0.1762, 0.7500]]}


{"formula": "AcCe3Se4", "functional": "GGA-PBE", "state": "optimized geometry", "sg": "No. 65", "dos_ef_per_ev_atom": 2.4025, "cell": [[4.2879, -6.0487, 0.0000], [4.2879, 6.0487, 0.0000], [0.0000, 0.0000, 4.2642]], "species": ["Ac", "Ce", "Ce", "Ce", "Se", "Se", "Se", "Se"], "fractional_positions": [[0.0000, 0.0000, 0.0000], [0.0000, 0.5000, 0.5000], [0.5000, 0.0000, 0.5000], [0.5000, 0.5000, 0.0000], [0.2556, 0.7444, 0.0000], [0.2613, 0.2613, 0.5000], [0.7387, 0.7387, 0.5000], [0.7444, 0.2556, 0.0000]]}


{"formula": "AcCe5Se6", "functional": "GGA-PBE", "state": "optimized geometry", "sg": "No. 12", "dos_ef_per_ev_atom": 2.6715, "cell": [[3.6797, -6.3799, 0.0000], [3.6797, 6.3799, 0.0000], [-2.4613, 0.0000, 6.9420]], "species": ["Ac", "Ce", "Ce", "Ce", "Ce", "Ce", "Se", "Se", "Se", "Se", "Se", "Se"], "fractional_positions": [[0.0000, 0.0000, 0.0000], [0.1634, 0.8366, 0.5000], [0.3329, 0.6671, 0.0000], [0.5000, 0.5000, 0.5000], [0.6671, 0.3329, 0.0000], [0.8366, 0.1634, 0.5000], [0.0859, 0.4280, 0.2568], [0.2582, 0.2582, 0.7466], [0.4280, 0.0859, 0.2568], [0.5720, 0.9141, 0.7432], [0.7418, 0.7418, 0.2534], [0.9141, 0.5720, 0.7432]]}


{"formula": "Ac2CeSe", "functional": "GGA-PBE", "state": "optimized geometry", "sg": "No. 166", "dos_ef_per_ev_atom": 2.1288, "cell": [[1.9860, 1.1466, 11.3927], [-1.9860, 1.1466, 11.3927], [0.0000, -2.2933, 11.3927]], "species": ["Ac", "Ac", "Ce", "Se"], "fractional_positions": [[0.1056, 0.1056, 0.1056], [0.8944, 0.8944, 0.8944], [0.0000, 0.0000, 0.0000], [0.5000, 0.5000, 0.5000]]}


{"formula": "Ac3CeSe6", "functional": "GGA-PBE", "state": "optimized geometry", "sg": "No. 148", "relative_energy_ev_per_atom": 0.000, "dos_ef_per_ev_atom": 0.4520, "cell": [[6.7914, 3.9210, 4.3107], [-6.7914, 3.9210, 4.3107], [0.0000, -7.8420, 4.3107]], "species": ["Ac", "Ac", "Ac", "Ac", "Ac", "Ac", "Ce", "Ce", "Se", "Se", "Se", "Se", "Se", "Se", "Se", "Se", "Se", "Se", "Se", "Se"], "fractional_positions": [[0.1115, 0.2837, 0.6171], [0.2837, 0.6171, 0.1115], [0.3829, 0.8885, 0.7163], [0.6171, 0.1115, 0.2837], [0.7163, 0.3829, 0.8885], [0.8885, 0.7163, 0.3829], [0.0000, 0.0000, 0.0000], [0.5000, 0.5000, 0.5000], [0.0512, 0.9383, 0.6813], [0.0617, 0.3187, 0.9488], [0.1873, 0.5669, 0.4283], [0.3187, 0.9488, 0.0617], [0.4283, 0.1873, 0.5669], [0.4331, 0.5717, 0.8127], [0.5669, 0.4283, 0.1873], [0.5717, 0.8127, 0.4331], [0.6813, 0.0512, 0.9383], [0.8127, 0.4331, 0.5717], [0.9383, 0.6813, 0.0512], [0.9488, 0.0617, 0.3187]]}


{"formula": "AcCeSe2", "functional": "GGA-PBE", "state": "optimized geometry", "sg": "No. 123", "relative_energy_ev_per_atom": 0.248, "dos_ef_per_ev_atom": 1.7659, "cell": [[3.7469, 0.0000, 0.0000], [0.0000, 3.7469, 0.0000], [0.0000, 0.0000, 7.5141]], "species": ["Ac", "Ce", "Se", "Se"], "fractional_positions": [[0.0000, 0.0000, 0.0000], [0.0000, 0.0000, 0.5000], [0.5000, 0.5000, 0.2611], [0.5000, 0.5000, 0.7389]]}


{"formula": "Ac2CeSmSe6", "functional": "GGA-PBE", "state": "optimized geometry", "sg": "No. 146", "dos_ef_per_ev_atom": 0.4854, "cell": [[3.8446, 2.2197, 6.6636], [-3.8446, 2.2197, 6.6636], [0.0000, -4.4394, 6.6636]], "species": ["Ac", "Ac", "Ce", "Sm", "Se", "Se", "Se", "Se", "Se", "Se"], "fractional_positions": [[0.0000, 0.0000, 0.0000], [0.4998, 0.4998, 0.4998], [0.2916, 0.2916, 0.2916], [0.7919, 0.7919, 0.7919], [0.0790, 0.6695, 0.4203], [0.1673, 0.5840, 0.9155], [0.4203, 0.0790, 0.6695], [0.5840, 0.9155, 0.1673], [0.6695, 0.4203, 0.0790], [0.9155, 0.1673, 0.5840]]}


no.,formation energy without anion corrections (eV/atom)
1,-1.665
2,-1.831
3,-1.865
4,-1.824
5,-1.860
6,-1.753
7,-1.830
8,-1.949
9,-1.739
10,-1.814
11,-1.842
12,-1.809
13,-1.832
14,-1.848
15,-1.813
16,-1.813
17,-0.437
18,-1.927
19,-1.582
20,-1.889